Arrangement P

## Sm4AgPd (PBE)

Data for crystalline Sm4AgPd at its relaxed geometry.

Output
The symmetry is F-43m (216).

Structure (POSCAR):
```
Sm4AgPd
1.0
8.485 0.000 4.899
2.828 7.999 4.899
0.000 0.000 9.797
Ag Sm Pd
4 16 4
Direct
0.166 0.501 0.166
0.501 0.166 0.166
0.166 0.166 0.166
0.166 0.166 0.501
0.393 0.393 0.822
0.185 0.815 0.815
0.939 0.561 0.561
0.561 0.939 0.939
0.561 0.561 0.939
0.822 0.393 0.393
0.393 0.393 0.393
0.939 0.561 0.939
0.815 0.185 0.815
0.561 0.939 0.561
0.393 0.822 0.393
0.939 0.939 0.561
0.185 0.815 0.185
0.815 0.815 0.185
0.185 0.185 0.815
0.815 0.185 0.185
0.604 0.604 0.604
0.604 0.604 0.187
0.187 0.604 0.604
0.604 0.187 0.604
```


Arrangement Q

## Sm4AgPd (PBE)

Data for crystalline Sm4AgPd at its relaxed geometry.

Output
The symmetry is C2/m (12).

Structure (POSCAR):
```
Sm4AgPd
1.0
-0.189 -4.399 2.452
4.944 -0.634 -0.757
1.397 3.380 6.191
Sm Pd Ag
4 1 1
Direct
0.501 0.997 0.258
0.001 0.497 0.258
0.502 0.998 0.738
0.002 0.498 0.738
0.001 0.997 0.498
0.501 0.497 0.998
```


Referenced to the most stable arrangement, the calculated values in eV/atom are arrangement P 0.000; arrangement Q 0.229.